No. 1
KIr2W: relaxed, GGA-PBEsol.

Calculated values
formation energy = 317 meV per atom
SG = P4/mmm (123)

a b c (Å): 2.8953 2.8953 8.6785
angles (deg): 90.00 90.00 90.00
Closest atoms and distances in Å follow each position.
Fractional positions:
Ir (0.0000, 0.0000, 0.6929)  4 W 2.64, 4 Ir 2.90
Ir (0.0000, 0.0000, 0.3071)  4 W 2.64, 4 Ir 2.90
K (0.5000, 0.5000, 0.0000)  4 K 2.90
W (0.5000, 0.5000, 0.5000)  8 Ir 2.64, 4 W 2.90



No. 2
ScTcSe2: relaxed, GGA-PBEsol.

Calculated values
raw formation energy = -0.462 eV per atom
SG = P4/mmm (123)

a b c (Å): 3.1732 3.1732 6.4623
angles (deg): 90.00 90.00 90.00
Closest atoms and distances in Å follow each position.
Fractional positions:
Sc (0.5000, 0.5000, 0.5000)  8 Se 2.82
Se (0.0000, 0.0000, 0.7648)  4 Tc 2.71, 4 Sc 2.82
Se (0.0000, 0.0000, 0.2352)  4 Tc 2.71, 4 Sc 2.82
Tc (0.5000, 0.5000, 0.0000)  8 Se 2.71